# SiBMo3, relaxed, DFT PBE
# **ΔE_f (raw)**: 0.13 eV/f.u.
# **Relative energy among the computed polymorphs**: 0.0 meV/atom
# **Final energy**: -8.89 eV per atom
data_SiBMo3
_chemical_formula_sum 'Si4 B4 Mo12'
_space_group_name_H-M_alt 'C m c m'
_space_group_IT_number 63
_space_group_name_Hall '-C 2c 2'
_cell_length_a 6.035
_cell_length_b 10.079
_cell_length_c 4.557
_cell_angle_alpha 90.00
_cell_angle_beta 90.00
_cell_angle_gamma 90.00
loop_
_atom_site_label
_atom_site_type_symbol
_atom_site_fract_x
_atom_site_fract_y
_atom_site_fract_z
Si1 Si 0.000 0.168 0.250
B1 B 0.000 0.500 0.000
Mo1 Mo 0.000 0.314 0.750
Mo2 Mo 0.218 0.076 0.750